A relaxed structure of HfHgAs. Source: the Open Quantum Materials Database, functional GGA-PBE.

Properties
Energy in eV/f.u.: -14.42

Geometry as POSCAR:
```
HfHgAs
1.0
0.000 3.255 3.255
3.255 0.000 3.255
3.255 3.255 0.000
As Hf Hg
1 1 1
Direct
0.000 0.000 0.000 As
0.250 0.250 0.250 Hf
0.750 0.750 0.750 Hg
```